InAsOsSe2 after structural relaxation, computed with PBE.

Lattice parameters (Å, degrees): 5.1479 5.1479 4.6849 90.00 90.00 90.00
Fractional positions:
In (0.0000, 0.0000, 0.0000)
As (0.5000, 0.5000, 0.0000)
Os (0.5000, 0.5000, 0.5000)
Se (0.0000, 0.5000, 0.5000)
Se (0.5000, 0.0000, 0.5000)

Output
For the energy above the lowest structure with this stoichiometry, the calculation gives 0.000 eV per atom. The formation energy from raw total energies is 0.425 eV per atom.

---

InAsOs2Se after structural relaxation, computed with PBE.

Lattice parameters (Å, degrees): 4.6033 4.6033 4.9845 90.00 90.00 90.00
Fractional positions:
In (0.0000, 0.0000, 0.0000)
As (0.5000, 0.5000, 0.0000)
Os (0.0000, 0.5000, 0.5000)
Os (0.5000, 0.0000, 0.5000)
Se (0.5000, 0.5000, 0.5000)

Output
The formation energy from raw total energies is 1.521 eV per atom.

---

InAs2OsSe after structural relaxation, computed with PBE.

Lattice parameters (Å, degrees): 4.7537 4.7537 5.7184 90.00 90.00 90.00
Fractional positions:
In (0.0000, 0.0000, 0.0000)
As (0.0000, 0.5000, 0.5000)
As (0.5000, 0.0000, 0.5000)
Os (0.5000, 0.5000, 0.5000)
Se (0.5000, 0.5000, 0.0000)

Output
For the energy above the lowest structure with this stoichiometry, the calculation gives 0.000 eV per atom. The formation energy from raw total energies is 0.432 eV per atom.

---

VIn2AsOs after structural relaxation, computed with PBE.

Lattice parameters (Å, degrees): 5.1618 5.1618 4.5444 90.00 90.00 90.00
Fractional positions:
V (0.0000, 0.0000, 0.0000)
In (0.0000, 0.5000, 0.0000)
In (0.5000, 0.0000, 0.0000)
As (0.0000, 0.0000, 0.5000)
Os (0.5000, 0.5000, 0.5000)

Output
The formation energy from the elements is 1.329 eV per atom.

---

In2AsP after structural relaxation, computed with PBE.

Lattice parameters (Å, degrees): 7.9077 7.9134 2.9384 90.00 92.72 90.00
Fractional positions:
In (0.2500, 0.2500, 0.0000)
In (0.2500, 0.7500, 0.0000)
In (0.7500, 0.2500, 0.0000)
In (0.7500, 0.7500, 0.0000)
As (0.0000, 0.0000, 0.0000)
As (0.5000, 0.5000, 0.0000)
P (0.0000, 0.5000, 0.0000)
P (0.5000, 0.0000, 0.0000)

Output
For the energy above the lowest structure with this stoichiometry, the calculation gives 0.408 eV per atom. The formation energy from the elements is 0.183 eV per atom.

---

InAsP after structural relaxation, computed with PBE.

Lattice parameters (Å, degrees): 3.3590 3.3590 11.5249 90.00 90.00 90.00
Fractional positions:
In (0.0000, 0.0000, 0.0000)
In (0.5000, 0.5000, 0.5000)
As (0.0000, 0.0000, 0.2831)
As (0.5000, 0.5000, 0.7831)
P (0.0000, 0.0000, 0.6975)
P (0.5000, 0.5000, 0.1975)

Output
For the energy above the lowest structure with this stoichiometry, the calculation gives 0.117 eV per atom. The formation energy from the elements is 0.208 eV per atom.

---

In2AsP after structural relaxation, computed with PBE.

Lattice parameters (Å, degrees): 3.9878 5.6306 4.0011 90.00 90.18 90.00
Fractional positions:
In (0.0000, 0.0000, 0.0000)
In (0.4990, 0.5000, 0.4994)
As (0.9989, 0.5000, 0.9993)
P (0.4995, 0.0000, 0.4997)

Output
For the energy above the lowest structure with this stoichiometry, the calculation gives 0.243 eV per atom. The formation energy from the elements is 0.018 eV per atom.

---

In2AsP after structural relaxation, computed with PBE.

Lattice parameters (Å, degrees): 7.0569 7.0569 7.0569 90.00 90.00 90.00
Fractional positions:
In (0.0000, 0.0000, 0.0000)
In (0.0000, 0.5000, 0.5000)
In (0.2500, 0.2500, 0.2500)
In (0.2500, 0.7500, 0.7500)
In (0.5000, 0.0000, 0.5000)
In (0.5000, 0.5000, 0.0000)
In (0.7500, 0.2500, 0.7500)
In (0.7500, 0.7500, 0.2500)
As (0.0000, 0.0000, 0.5000)
As (0.0000, 0.5000, 0.0000)
As (0.5000, 0.0000, 0.0000)
As (0.5000, 0.5000, 0.5000)
P (0.2500, 0.2500, 0.7500)
P (0.2500, 0.7500, 0.2500)
P (0.7500, 0.2500, 0.2500)
P (0.7500, 0.7500, 0.7500)

Output
For the energy above the lowest structure with this stoichiometry, the calculation gives 0.595 eV per atom. The formation energy from the elements is 0.370 eV per atom.

---

In2AsP after structural relaxation, computed with PBE.

Lattice parameters (Å, degrees): 4.2878 4.2878 6.0700 90.00 90.00 90.00
Fractional positions:
In (0.0000, 0.5000, 0.2414)
In (0.5000, 0.0000, 0.7586)
As (0.0000, 0.0000, 0.5000)
P (0.5000, 0.5000, 0.0000)

Output
For the energy above the lowest structure with this stoichiometry, the calculation gives 0.004 eV per atom. The formation energy from the elements is -0.221 eV per atom.

---

In3As4P2 after structural relaxation, computed with PBE.

Lattice parameters (Å, degrees): 6.2244 15.7315 4.4164 90.00 90.00 90.00
Fractional positions:
In (0.0000, 0.0000, 0.0000)
In (0.2200, 0.2029, 0.0000)
In (0.2800, 0.7029, 0.5000)
In (0.5000, 0.5000, 0.5000)
In (0.7200, 0.2971, 0.5000)
In (0.7800, 0.7971, 0.0000)
As (0.2350, 0.5668, 0.0000)
As (0.2368, 0.3450, 0.5000)
As (0.2632, 0.8450, 0.0000)
As (0.2650, 0.0668, 0.5000)
As (0.7350, 0.9332, 0.5000)
As (0.7368, 0.1550, 0.0000)
As (0.7632, 0.6550, 0.5000)
As (0.7650, 0.4332, 0.0000)
P (0.1440, 0.4121, 0.0000)
P (0.3560, 0.9121, 0.5000)
P (0.6440, 0.0879, 0.5000)
P (0.8560, 0.5879, 0.0000)

Output
The formation energy from the elements is 0.113 eV per atom.

---

In2AsP after structural relaxation, computed with PBE.

Lattice parameters (Å, degrees): 4.0212 5.8976 7.7171 90.00 90.00 90.00
Fractional positions:
In (0.0000, 0.0000, 0.2396)
In (0.0000, 0.0000, 0.7604)
In (0.5000, 0.5000, 0.2604)
In (0.5000, 0.5000, 0.7396)
As (0.0000, 0.5000, 0.0000)
As (0.5000, 0.0000, 0.5000)
P (0.0000, 0.5000, 0.5000)
P (0.5000, 0.0000, 0.0000)

Output
For the energy above the lowest structure with this stoichiometry, the calculation gives 0.512 eV per atom. The formation energy from the elements is 0.287 eV per atom.

---

InAs3P after structural relaxation, computed with PBE.

Lattice parameters (Å, degrees): 5.1558 5.1558 5.1558 90.00 90.00 90.00
Fractional positions:
In (0.0000, 0.0000, 0.0000)
As (0.0000, 0.0000, 0.5000)
As (0.0000, 0.5000, 0.0000)
As (0.5000, 0.0000, 0.0000)
P (0.5000, 0.5000, 0.5000)

Output
For the energy above the lowest structure with this stoichiometry, the calculation gives 0.814 eV per atom. The formation energy from the elements is 1.340 eV per atom.

---

no.,density (g/cm³)
1,7.19
2,10.21
3,6.86
4,7.48
5,6.07
6,5.64
7,6.20
8,6.34
9,4.99
10,5.42
11,6.09
12,4.49